CuNi2Sb: optimized geometry, GGA-PBEsol.

As for the energy: -5.388 eV per atom. The calculation puts the magnetization at 0.00 μB/f.u. For the formation energy from raw total energies, the calculation gives -87 meV per atom. The value obtained for the density is 9.79 g/cm³.

The space group is I-4m2 (No. 119) and the conventional cell measures 3.668, 3.668 and 7.637 Å, with angles of 90.00, 90.00 and 90.00 degrees. The asymmetric unit holds Cu at (0.000, 0.000, 0.000), Ni at (0.000, 0.000, 0.500), Ni at (0.000, 0.500, 0.750) and Sb at (0.000, 0.500, 0.250).

=====

CuNi2Sb: optimized geometry, GGA-PBEsol.

As for the energy: -5.388 eV per atom. The calculation puts the magnetization at 0.00 μB/f.u. For the formation energy from raw total energies, the calculation gives -87 meV per atom. The value obtained for the density is 9.77 g/cm³.

The space group is P4/mmm (No. 123) and the conventional cell measures 3.778, 3.778 and 3.604 Å, with angles of 90.00, 90.00 and 90.00 degrees. The asymmetric unit holds Cu at (0.000, 0.000, 0.000), Ni at (0.000, 0.500, 0.500) and Sb at (0.500, 0.500, 0.000).

=====

CuNiSb2: optimized geometry, GGA-PBEsol.

As for the energy: -4.687 eV per atom. The calculation puts the magnetization at 0.00 μB/f.u. For the formation energy from raw total energies, the calculation gives 215 meV per atom. The value obtained for the density is 8.68 g/cm³.

The space group is Pmmm (No. 47) and the conventional cell measures 3.572, 4.318 and 4.537 Å, with angles of 90.00, 90.00 and 90.00 degrees. The asymmetric unit holds Cu at (0.000, 0.000, 0.000), Ni at (0.000, 0.500, 0.500), Sb at (0.500, 0.000, 0.500) and Sb at (0.500, 0.500, 0.000).

=====

U6Cu3Ni3Sb8: optimized geometry, GGA-PBEsol.

As for the energy: -7.284 eV per atom. The calculation puts the magnetization at 14.74 μB/f.u. For the formation energy from raw total energies, the calculation gives -240 meV per atom. The value obtained for the density is 11.32 g/cm³.

The space group is C2 (No. 5) and the conventional cell measures 13.190, 9.335 and 9.292 Å, with angles of 90.00, 134.75 and 90.00 degrees. The asymmetric unit holds U at (0.000, 0.000, 0.000), U at (0.000, 0.239, 0.500), U at (0.122, 0.621, 0.866), U at (0.245, 0.868, 0.618), Cu at (0.000, 0.494, 0.000), Cu at (0.249, 0.869, 0.125), Ni at (0.000, 0.744, 0.500), Ni at (0.125, 0.119, 0.374), Sb at (0.082, 0.285, 0.915), Sb at (0.083, 0.954, 0.748), Sb at (0.166, 0.536, 0.581) and Sb at (0.167, 0.701, 0.252).

=====

Sc3CuNi: optimized geometry, GGA-PBEsol.

As for the energy: -5.885 eV per atom. The calculation puts the magnetization at 0.00 μB/f.u. The value obtained for the density is 3.99 g/cm³. The energy relative to the elements comes out at 85 kJ/mol of formula units.

The space group is Pm-3m (No. 221) and the conventional cell measures 4.749, 4.749 and 4.749 Å, with angles of 90.00, 90.00 and 90.00 degrees. The asymmetric unit holds Sc at (0.000, 0.000, 0.500), Cu at (0.500, 0.500, 0.500) and Ni at (0.000, 0.000, 0.000).

=====

Sc2CuNi: optimized geometry, GGA-PBEsol.

As for the energy: -6.305 eV per atom. The calculation puts the magnetization at 0.00 μB/f.u. The value obtained for the density is 5.57 g/cm³. The energy relative to the elements comes out at -147 kJ/mol of formula units.

The space group is Fm-3m (No. 225) and the conventional cell measures 6.325, 6.325 and 6.325 Å, with angles of 90.00, 90.00 and 90.00 degrees. The asymmetric unit holds Sc at (0.250, 0.250, 0.250), Cu at (0.000, 0.000, 0.000) and Ni at (0.000, 0.000, 0.500).

=====

ScCuNi6: optimized geometry, GGA-PBEsol.

As for the energy: -6.144 eV per atom. The calculation puts the magnetization at 2.01 μB/f.u. The value obtained for the density is 8.41 g/cm³. The energy relative to the elements comes out at -122 kJ/mol of formula units.

The space group is Cmmm (No. 65) and the conventional cell measures 7.110, 10.114 and 10.115 Å, with angles of 90.00, 90.00 and 90.00 degrees. The asymmetric unit holds Sc at (0.000, 0.000, 0.248), Sc at (0.000, 0.245, 0.500), Cu at (0.000, 0.241, 0.000), Cu at (0.000, 0.500, 0.245), Ni at (0.000, 0.000, 0.000), Ni at (0.000, 0.000, 0.500), Ni at (0.000, 0.254, 0.242), Ni at (0.000, 0.500, 0.000), Ni at (0.000, 0.500, 0.500), Ni at (0.240, 0.378, 0.369) and Ni at (0.241, 0.372, 0.120).

=====

Sc2CuNi: optimized geometry, GGA-PBEsol.

As for the energy: -6.302 eV per atom. The calculation puts the magnetization at 0.00 μB/f.u. The value obtained for the density is 5.56 g/cm³. The energy relative to the elements comes out at -145 kJ/mol of formula units.

The space group is Pmm2 (No. 25) and the conventional cell measures 3.169, 4.470 and 4.472 Å, with angles of 90.00, 90.00 and 90.00 degrees. The asymmetric unit holds Sc at (0.000, 0.000, 0.000), Sc at (0.000, 0.500, 0.499), Cu at (0.500, 0.500, 0.998) and Ni at (0.500, 0.000, 0.502).

=====

ScCuNi2: optimized geometry, GGA-PBEsol.

As for the energy: -6.135 eV per atom. The calculation puts the magnetization at 0.00 μB/f.u. The value obtained for the density is 7.47 g/cm³. The energy relative to the elements comes out at -124 kJ/mol of formula units.

The space group is I-4m2 (No. 119) and the conventional cell measures 3.622, 3.622 and 7.661 Å, with angles of 90.00, 90.00 and 90.00 degrees. The asymmetric unit holds Sc at (0.000, 0.000, 0.000), Cu at (0.000, 0.500, 0.250), Ni at (0.000, 0.000, 0.500) and Ni at (0.000, 0.500, 0.750).

=====

CuNiSe3: optimized geometry, GGA-PBEsol.

As for the energy: -3.549 eV per atom. The calculation puts the magnetization at 1.49 μB/f.u. For the formation energy from raw total energies, the calculation gives 859 meV per atom. The value obtained for the density is 5.92 g/cm³.

The space group is Pm-3m (No. 221) and the conventional cell measures 4.653, 4.653 and 4.653 Å, with angles of 90.00, 90.00 and 90.00 degrees. The asymmetric unit holds Cu at (0.000, 0.000, 0.000), Ni at (0.500, 0.500, 0.500) and Se at (0.000, 0.000, 0.500).

=====

CuNi2Se: optimized geometry, GGA-PBEsol.

As for the energy: -4.955 eV per atom. The calculation puts the magnetization at 0.00 μB/f.u. For the formation energy from raw total energies, the calculation gives 170 meV per atom. The value obtained for the density is 8.57 g/cm³.

The space group is R-3m (No. 166, hexagonal axes) and the conventional cell measures 2.8394, 2.8394 and 21.6355 Å, with angles of 90.00, 90.00 and 120.00 degrees. The asymmetric unit holds Cu at (0.0000, 0.0000, 0.0000), Ni at (0.0000, 0.0000, 0.2482) and Se at (0.0000, 0.0000, 0.5000).

=====

Cu2NiSe: optimized geometry, GGA-PBEsol.

As for the energy: -4.610 eV per atom. The calculation puts the magnetization at 0.00 μB/f.u. For the formation energy from raw total energies, the calculation gives 59 meV per atom. The value obtained for the density is 8.88 g/cm³.

The space group is P4/mmm (No. 123) and the conventional cell measures 3.564, 3.564 and 3.899 Å, with angles of 90.00, 90.00 and 90.00 degrees. The asymmetric unit holds Cu at (0.000, 0.500, 0.000), Ni at (0.000, 0.000, 0.500) and Se at (0.500, 0.500, 0.500).